Density functional theory data (SCAN) for a crystal of FeCuPt2 relaxed with PBEsol.

Properties
- ΔE_f (eV per atom) = -0.248
- space-group type = R-3m
- DOS(E_F) (states/eV/f.u.) = 2.03
- E_tot (Ry/atom) = -3.210

abc: 2.696 2.696 8.678
angles: 81.06 81.06 60.00
Fractional positions:
Cu 0.500 0.500 0.500
Pt 0.251 0.251 0.248
Pt 0.749 0.749 0.752
Fe 0.000 0.000 0.000

Density functional theory data (SCAN) for a crystal of NbIrOF2 relaxed with PBEsol.

Properties
- energy relative to the elements, uncorrected (eV/f.u.) = -3.973
- space-group type = P4/mmm
- DOS(E_F) (states/eV/f.u.) = 3.31
- E_tot (Ry/atom) = -1.786

abc: 3.932 4.126 4.126
angles: 90.00 90.00 90.00
Fractional positions:
Nb 0.000 0.000 0.000
Ir 0.500 0.500 0.500
O 0.500 0.000 0.000
F 0.000 0.000 0.500
F 0.000 0.500 0.000

Density functional theory data (SCAN) for a crystal of Ag3WF relaxed with PBEsol.

Properties
- energy relative to the elements, uncorrected (eV/f.u.) = 8.306
- space-group type = Pm-3m
- DOS(E_F) (states/eV/f.u.) = 4.03
- E_tot (Ry/atom) = -2.338

abc: 5.006 5.006 5.006
angles: 90.00 90.00 90.00
Fractional positions:
Ag 0.000 0.500 0.000
Ag 0.000 0.000 0.500
Ag 0.500 0.000 0.000
W 0.000 0.000 0.000
F 0.500 0.500 0.500

Density functional theory data (SCAN) for a crystal of MgRhF3 relaxed with PBEsol.

Properties
- energy relative to the elements, uncorrected (eV/f.u.) = -10.554
- space-group type = Pm-3m
- DOS(E_F) (states/eV/f.u.) = 5.45
- E_tot (Ry/atom) = -0.881

abc: 3.900 3.900 3.900
angles: 90.00 90.00 90.00
Fractional positions:
Mg 0.000 0.000 0.000
Rh 0.500 0.500 0.500
F 0.000 0.500 0.000
F 0.000 0.000 0.500
F 0.500 0.000 0.000

Density functional theory data (SCAN) for a crystal of Mo4P9O32 relaxed with PBEsol.

Properties
- energy relative to the elements, uncorrected (eV/f.u.) = -99.797
- space-group type = P-42_1c
- DOS(E_F) (states/eV/f.u.) = 5.39
- E_tot (Ry/atom) = -0.869

abc: 6.367 14.357 14.357
angles: 90.00 90.00 90.00
Fractional positions:
Mo 0.848 0.691 0.392
Mo 0.652 0.809 0.892
Mo 0.152 0.608 0.691
Mo 0.348 0.892 0.191
Mo 0.152 0.392 0.309
Mo 0.348 0.108 0.809
Mo 0.848 0.309 0.608
Mo 0.652 0.191 0.108
P 0.102 0.803 0.558
P 0.664 0.390 0.248
P 0.398 0.303 0.942
P 0.398 0.697 0.058
P 0.898 0.558 0.197
P 0.898 0.442 0.803
P 0.836 0.890 0.252
P 0.664 0.610 0.752
P 0.602 0.058 0.303
P 0.164 0.748 0.890
P 0.000 0.500 0.500
P 0.836 0.110 0.748
P 0.602 0.942 0.697
P 0.336 0.248 0.610
P 0.164 0.252 0.110
P 0.500 0.000 0.000
P 0.336 0.752 0.390
P 0.102 0.197 0.442
O 0.458 0.591 0.701
O 0.412 0.000 0.263
O 0.566 0.110 0.388
O 0.660 0.122 0.820
O 0.319 0.218 0.882
O 0.647 0.922 0.967
O 0.412 0.000 0.737
O 0.218 0.687 0.979
O 0.958 0.799 0.909
O 0.840 0.378 0.320
O 0.958 0.201 0.091
O 0.434 0.388 0.890
O 0.647 0.692 0.818
O 0.912 0.763 0.500
O 0.853 0.192 0.682
O 0.782 0.979 0.313
O 0.066 0.888 0.610
O 0.319 0.782 0.118
O 0.282 0.813 0.479
O 0.088 0.500 0.237
O 0.147 0.318 0.192
O 0.819 0.382 0.718
O 0.681 0.882 0.782
O 0.718 0.479 0.187
O 0.660 0.878 0.180
O 0.647 0.308 0.182
O 0.681 0.118 0.218
O 0.353 0.967 0.078
O 0.340 0.820 0.878
O 0.853 0.422 0.533
O 0.934 0.610 0.112
O 0.160 0.680 0.378
O 0.542 0.701 0.409
O 0.718 0.521 0.813
O 0.566 0.890 0.612
O 0.147 0.467 0.422
O 0.088 0.500 0.763
O 0.853 0.808 0.318
O 0.147 0.533 0.578
O 0.147 0.682 0.808
O 0.181 0.282 0.382
O 0.353 0.182 0.692
O 0.853 0.578 0.467
O 0.588 0.263 0.000
O 0.912 0.237 0.500
O 0.042 0.091 0.799
O 0.353 0.033 0.922
O 0.782 0.021 0.687
O 0.647 0.078 0.033
O 0.458 0.409 0.299
O 0.588 0.737 0.000
O 0.160 0.320 0.622
O 0.282 0.187 0.521
O 0.042 0.909 0.201
O 0.434 0.612 0.110
O 0.340 0.180 0.122
O 0.934 0.390 0.888
O 0.181 0.718 0.618
O 0.542 0.299 0.591
O 0.840 0.622 0.680
O 0.218 0.313 0.021
O 0.819 0.618 0.282
O 0.066 0.112 0.390
O 0.353 0.818 0.308

Density functional theory data (SCAN) for a crystal of BaRuCl3 relaxed with PBEsol.

Properties
- energy above the most stable polymorph in this dataset (meV per atom) = 805
- energy relative to the elements, uncorrected (eV/f.u.) = -2.531
- space-group type = Pm-3m
- DOS(E_F) (states/eV/f.u.) = 11.39
- E_tot (Ry/atom) = -1.482

abc: 5.842 5.842 5.842
angles: 90.00 90.00 90.00
Fractional positions:
Ru 0.500 0.500 0.500
Ba 0.000 0.000 0.000
Cl 0.000 0.500 0.000
Cl 0.000 0.000 0.500
Cl 0.500 0.000 0.000